Compound: VRhF2
Source: the Alexandria database
Functional: PBE+U
Structure: optimized geometry

Properties
Uncorrected energy (eV/atom): -5.8310
Total magnetic moment (μB per formula unit): 4.3

Structure (CIF):
```
data_VRhF2
_chemical_formula_sum 'V3 Rh3 F6'
_cell_length_a 2.9695
_cell_length_b 2.9695
_cell_length_c 27.6987
_cell_angle_alpha 90.00
_cell_angle_beta 90.00
_cell_angle_gamma 120.00
_symmetry_space_group_name_H-M 'R -3 m'
_symmetry_Int_Tables_number 166
_symmetry_space_group_name_Hall '-R 3 2"'
loop_
_atom_site_label
_atom_site_type_symbol
_atom_site_fract_x
_atom_site_fract_y
_atom_site_fract_z
_atom_site_occupancy
V1 V 0.0000 0.0000 0.0000 1
Rh1 Rh 0.0000 0.0000 0.5000 1
F1 F 0.0000 0.0000 0.3756 1
```